The following is a PBE calculation of a relaxed structure of SrLiAl2Si2, from the Alexandria database.

abc: 4.3994 4.3994 7.1513
angles: 90.00 90.00 120.00
Fractional coordinates of all 6 atoms:
Li 0.0000 0.0000 0.5000
Al 0.3333 0.6667 0.6494
Si 0.3333 0.6667 0.2844
Al 0.6667 0.3333 0.3506
Sr 0.0000 0.0000 0.0000
Si 0.6667 0.3333 0.7156

Properties
**ρ**: 2.84 g cm⁻³
**Total magnetic moment**: 0.0 μB/cell
**ΔE_f (raw)**: -299 meV per atom
**Crystal system**: trigonal

***

The following is a PBE calculation of a relaxed structure of Sc2Hg2Bi, from the Alexandria database.

abc: 4.7530 4.7530 6.8037
angles: 69.56 69.56 90.00
Fractional coordinates of all 5 atoms:
Sc 0.2500 0.7500 0.5000
Hg 0.3851 0.3851 0.2298
Bi 0.0000 0.0000 0.0000
Hg 0.6149 0.6149 0.7702
Sc 0.7500 0.2500 0.5000

Properties
**Calculated formation energy**: -0.075 eV/atom
**ρ**: 8.70 g cm⁻³
**Total magnetic moment**: 0.7 μB/cell
**Crystal system**: tetragonal

***

The following is a PBE calculation of a relaxed structure of NbAl2Au, from the Alexandria database.

abc: 4.5193 4.5193 4.5193
angles: 60.00 60.00 60.00
Fractional coordinates of all 4 atoms:
Al 0.7500 0.7500 0.7500
Au 0.5000 0.5000 0.5000
Al 0.2500 0.2500 0.2500
Nb 0.0000 0.0000 0.0000

Properties
**Calculated formation energy**: -0.128 eV/atom
**ρ**: 8.75 g cm⁻³
**Total magnetic moment**: 0.6 μB/cell
**Crystal system**: cubic

***

The following is a PBE calculation of a relaxed structure of Tl2HgBr, from the Alexandria database.

abc: 6.5043 4.6967 4.5255
angles: 90.00 90.00 90.00
Fractional coordinates of all 4 atoms:
Tl 0.0000 0.8752 0.8747
Br 0.0000 0.3753 0.3752
Hg 0.5000 0.8746 0.8751
Tl 0.5000 0.3749 0.3751

Properties
**ρ**: 8.28 g cm⁻³
**Total magnetic moment**: 0.0 μB/cell
**ΔE_f (raw)**: -360 meV per atom
**Crystal system**: orthorhombic

***

The following is a PBE calculation of a relaxed structure of Na2SrCeBr8, from the Alexandria database.

abc: 7.1197 6.8459 9.0281
angles: 90.00 90.00 92.98
Fractional coordinates of all 12 atoms:
Ce 0.0000 0.0000 0.0000
Br 0.3186 0.2563 0.0000
Br 0.6627 0.7309 0.5001
Br 0.1569 0.7753 0.2255
Br 0.1570 0.7754 0.7745
Na 0.5000 0.5001 0.2629
Br 0.8431 0.2247 0.7745
Br 0.8430 0.2246 0.2255
Na 0.5000 0.4999 0.7371
Br 0.6814 0.7437 0.0000
Sr 0.0000 0.0000 0.5000
Br 0.3373 0.2691 0.4999

Properties
**ρ**: 3.45 g cm⁻³
**Total magnetic moment**: 0.0 μB/cell
**ΔE_f (raw)**: -1677 meV per atom
**Crystal system**: monoclinic

***

The following is a PBE calculation of a relaxed structure of YTiNi2, from the Alexandria database.

abc: 3.1985 4.5330 4.5330
angles: 90.00 90.00 90.00
Fractional coordinates of all 4 atoms:
Ni 0.0000 0.5000 0.0000
Y 0.5000 0.5000 0.5000
Ni 0.0000 0.0000 0.5000
Ti 0.5000 0.0000 0.0000

Properties
**Calculated formation energy**: -0.215 eV/atom
**ρ**: 6.42 g cm⁻³
**Total magnetic moment**: 0.0 μB/cell
**Crystal system**: tetragonal

***

The following is a PBE calculation of a relaxed structure of Be2ZnSnF8, from the Alexandria database.

abc: 5.4136 5.4748 6.9288
angles: 55.75 67.00 60.37
Fractional coordinates of all 12 atoms:
F 0.3413 0.4379 0.8795
F 0.8600 0.9767 0.7650
F 0.6016 0.0233 0.2350
F 0.1400 0.0233 0.2350
F 0.1232 0.5119 0.2418
Sn 0.5000 0.5000 0.5000
Zn 0.0000 0.0000 0.0000
Be 0.7039 0.7405 0.8518
Be 0.2961 0.2595 0.1482
F 0.3984 0.9767 0.7650
F 0.6587 0.5621 0.1205
F 0.8768 0.4881 0.7582

Properties
**ρ**: 4.04 g cm⁻³
**Total magnetic moment**: 0.0 μB/cell
**ΔE_f (raw)**: -2711 meV per atom
**Crystal system**: monoclinic

***

The following is a PBE calculation of a relaxed structure of Os3AuCl, from the Alexandria database.

abc: 5.0099 5.0099 5.0099
angles: 90.00 90.00 90.00
Fractional coordinates of all 5 atoms:
Os 0.0000 0.5000 0.0000
Cl 0.5000 0.5000 0.5000
Os 0.0000 0.0000 0.5000
Os 0.5000 0.0000 0.0000
Au 0.0000 0.0000 0.0000

Properties
**ρ**: 10.61 g cm⁻³
**Total magnetic moment**: 9.0 μB/cell
**ΔE_f (raw)**: 3018 meV per atom
**Crystal system**: cubic